1.
Material: RbReAsO
Method: DFT, PBE-GGA
State: relaxed

Geometry as extended XYZ:
```
8
Lattice="4.1688 0.0000 0.0000 0.0000 4.1688 0.0000 0.0000 0.0000 8.8146" Properties=species:S:1:pos:R:3 pbc="T T T"
Rb 1.0422 3.1266 0.0000
Rb 3.1266 1.0422 0.0000
Re 1.0422 1.0422 3.8222
Re 3.1266 3.1266 4.9924
As 1.0422 1.0422 6.2865
As 3.1266 3.1266 2.5281
O 1.0422 3.1266 4.4073
O 3.1266 1.0422 4.4073
```

Calculated volume ... 19.1 A^3/atom
Offset from the most stable computed form ... 994.0 meV/atom
Calculated density ... 7.86 g cm⁻³
Space group ... No. 129
E ... -0.384 Ry per atom

2.
Material: Ni10Te
Method: DFT, PBE-GGA
State: relaxed

Geometry as extended XYZ:
```
22
Lattice="2.7097 0.0000 0.0000 0.0000 3.4060 0.0000 0.0000 0.0000 40.0678" Properties=species:S:1:pos:R:3 pbc="T T T"
Ni 0.0000 0.0000 0.0000
Ni 0.0000 0.0000 2.4114
Ni 0.0000 0.0000 4.8204
Ni 0.0000 0.0000 7.2371
Ni 0.0000 0.0000 9.6564
Ni 0.0000 0.0000 12.0802
Ni 0.0000 0.0000 14.5006
Ni 0.0000 0.0000 16.9002
Ni 0.0000 0.0000 19.3154
Ni 0.0000 0.0000 21.7851
Ni 1.3549 1.7030 1.2060
Ni 1.3549 1.7030 3.6251
Ni 1.3549 1.7030 6.0266
Ni 1.3549 1.7030 8.4422
Ni 1.3549 1.7030 10.8658
Ni 1.3549 1.7030 13.2902
Ni 1.3549 1.7030 15.7065
Ni 1.3549 1.7030 18.1210
Ni 1.3549 1.7030 20.5201
Ni 1.3549 1.7030 38.8023
Te 0.0000 0.0000 37.3784
Te 1.3549 1.7030 23.2084
```

Calculated volume ... 16.8 A^3/atom
Offset from the most stable computed form ... 123.7 meV/atom
Calculated density ... 6.42 g cm⁻³
Space group ... No. 25
E ... -0.386 Ry per atom

3.
Material: Y4SiNiC2
Method: DFT, PBE-GGA
State: relaxed

Geometry as extended XYZ:
```
8
Lattice="3.6056 0.0000 0.0000 -1.8028 3.1226 0.0000 0.0000 0.0000 14.1026" Properties=species:S:1:pos:R:3 pbc="T T T"
Y 0.0000 0.0000 2.0142
Y 0.0000 0.0000 12.0885
Y 0.0000 2.0817 4.7407
Y 0.0000 2.0817 9.3620
Si 0.0000 0.0000 7.0513
Ni 0.0000 2.0817 0.0000
C 1.8028 1.0408 3.3731
C 1.8028 1.0408 10.7296
```

Calculated volume ... 19.8 A^3/atom
Calculated density ... 4.88 g cm⁻³
Space group ... No. 187
E ... -0.527 Ry per atom

4.
Material: TaGe2IrO6
Method: DFT, PBE-GGA
State: relaxed

Geometry as extended XYZ:
```
10
Lattice="0.0000 3.9461 3.9461 3.9461 0.0000 3.9461 3.9461 3.9461 0.0000" Properties=species:S:1:pos:R:3 pbc="T T T"
Ta 0.0000 0.0000 0.0000
Ge 1.9730 1.9730 1.9730
Ge 5.9191 5.9191 5.9191
Ir 3.9461 3.9461 3.9461
O 3.9461 3.9461 1.9666
O 3.9461 1.9666 3.9461
O 5.9255 3.9461 3.9461
O 1.9666 3.9461 3.9461
O 3.9461 5.9255 3.9461
O 3.9461 3.9461 5.9255
```

Calculated volume ... 12.3 A^3/atom
Calculated density ... 8.30 g cm⁻³
Space group ... No. 225
E ... -0.527 Ry per atom